## Sc3PBr (GGA-PBE)

Data for Sc3PBr after structural relaxation.

Cell: 4.9899 4.9899 4.9899 Å, 90.00 90.00 90.00°
With the nearest neighbours (Å) after each atom.
Space group Pm-3m (No. 221)
One atom of each set of equivalent atoms:
Sc 0.0000 0.0000 0.5000 [3 per cell]  2 P 2.49
P 0.0000 0.0000 0.0000 [1 per cell]  6 Sc 2.49
Br 0.5000 0.5000 0.5000 [1 per cell]  12 Sc 3.53

- E above lowest polymorph: 0.0000 eV per atom
- Total DFT energy (no corrections): -5.645 eV per atom
- DOS at the Fermi energy: 8.824 states/eV/cell

## ScPSe2Br (GGA-PBE)

Data for ScPSe2Br after structural relaxation.

Cell: 5.2469 5.2469 5.1046 Å, 90.00 90.00 90.00°
With the nearest neighbours (Å) after each atom.
Space group P4/mmm (No. 123)
One atom of each set of equivalent atoms:
Sc 0.0000 0.0000 0.0000 [1 per cell]  2 Br 2.55, 4 Se 2.62
P 0.5000 0.5000 0.5000 [1 per cell]  8 Se 3.66, 4 Br 3.71
Se 0.0000 0.5000 0.0000 [2 per cell]  2 Sc 2.62
Br 0.0000 0.0000 0.5000 [1 per cell]  2 Sc 2.55

- E above lowest polymorph: 0.0207 eV per atom
- Total DFT energy (no corrections): -4.129 eV per atom
- DOS at the Fermi energy: 3.180 states/eV/cell

## ScPSeBr2 (GGA-PBE)

Data for ScPSeBr2 after structural relaxation.

Cell: 4.9667 4.9667 5.1810 Å, 90.00 90.00 90.00°
With the nearest neighbours (Å) after each atom.
Space group P4/mmm (No. 123)
One atom of each set of equivalent atoms:
Sc 0.0000 0.0000 0.0000 [1 per cell]  4 Se 3.51, 8 Br 3.59
P 0.5000 0.5000 0.5000 [1 per cell]  4 Br 2.48, 2 Se 2.59
Se 0.5000 0.5000 0.0000 [1 per cell]  2 P 2.59
Br 0.0000 0.5000 0.5000 [2 per cell]  2 P 2.48

- E above lowest polymorph: 0.2872 eV per atom
- Total DFT energy (no corrections): -3.722 eV per atom
- DOS at the Fermi energy: 4.026 states/eV/cell

## ScPSe2Br (GGA-PBE)

Data for ScPSe2Br after structural relaxation.

Cell: 4.9413 4.9413 4.8196 Å, 90.00 90.00 90.00°
With the nearest neighbours (Å) after each atom.
Space group P4/mmm (No. 123)
One atom of each set of equivalent atoms:
Sc 0.0000 0.0000 0.0000 [1 per cell]  8 Se 3.45, 4 Br 3.49
P 0.5000 0.5000 0.5000 [1 per cell]  2 Br 2.41, 4 Se 2.47
Se 0.0000 0.5000 0.5000 [2 per cell]  2 P 2.47
Br 0.5000 0.5000 0.0000 [1 per cell]  2 P 2.41

- E above lowest polymorph: 0.0000 eV per atom
- Total DFT energy (no corrections): -4.150 eV per atom
- DOS at the Fermi energy: 3.966 states/eV/cell

## ScPSeBr2 (GGA-PBE)

Data for ScPSeBr2 after structural relaxation.

Cell: 5.1754 5.1754 5.4644 Å, 90.00 90.00 90.00°
With the nearest neighbours (Å) after each atom.
Space group P4/mmm (No. 123)
One atom of each set of equivalent atoms:
Sc 0.0000 0.0000 0.0000 [1 per cell]  4 Br 2.59, 2 Se 2.73
P 0.5000 0.5000 0.5000 [1 per cell]  4 Se 3.66, 8 Br 3.76
Se 0.0000 0.0000 0.5000 [1 per cell]  2 Sc 2.73
Br 0.0000 0.5000 0.0000 [2 per cell]  2 Sc 2.59

- E above lowest polymorph: 0.0000 eV per atom
- Total DFT energy (no corrections): -4.009 eV per atom
- DOS at the Fermi energy: 1.676 states/eV/cell

## SrScPBr2 (GGA-PBE)

Data for SrScPBr2 after structural relaxation.

Cell: 5.5772 5.5772 5.9143 Å, 90.00 90.00 90.00°
With the nearest neighbours (Å) after each atom.
Space group P4/mmm (No. 123)
One atom of each set of equivalent atoms:
Sr 0.0000 0.0000 0.0000 [1 per cell]  4 Br 2.79, 2 P 2.96
Sc 0.5000 0.5000 0.5000 [1 per cell]  4 P 3.94, 8 Br 4.06
P 0.0000 0.0000 0.5000 [1 per cell]  2 Sr 2.96
Br 0.0000 0.5000 0.0000 [2 per cell]  2 Sr 2.79

- Total DFT energy (no corrections): -3.582 eV per atom
- DOS at the Fermi energy: 5.910 states/eV/cell

## ScTi2PBr (GGA-PBE)

Data for ScTi2PBr after structural relaxation.

Cell: 4.6023 4.6023 4.9605 Å, 90.00 90.00 90.00°
With the nearest neighbours (Å) after each atom.
Space group P4/mmm (No. 123)
One atom of each set of equivalent atoms:
Sc 0.0000 0.0000 0.0000 [1 per cell]  2 Br 2.48
Ti 0.0000 0.5000 0.5000 [2 per cell]  2 Br 2.30
P 0.5000 0.5000 0.0000 [1 per cell]  4 Sc 3.25, 8 Ti 3.38
Br 0.0000 0.0000 0.5000 [1 per cell]  4 Ti 2.30, 2 Sc 2.48

- Total DFT energy (no corrections): -5.404 eV per atom
- DOS at the Fermi energy: 5.405 states/eV/cell

## ScPW2Br (GGA-PBE)

Data for ScPW2Br after structural relaxation.

Cell: 4.4972 4.4972 5.0979 Å, 90.00 90.00 90.00°
With the nearest neighbours (Å) after each atom.
Space group P4/mmm (No. 123)
One atom of each set of equivalent atoms:
Sc 0.0000 0.0000 0.0000 [1 per cell]  2 P 2.55
P 0.0000 0.0000 0.5000 [1 per cell]  4 W 2.25
W 0.0000 0.5000 0.5000 [2 per cell]  2 P 2.25
Br 0.5000 0.5000 0.0000 [1 per cell]  4 Sc 3.18, 8 W 3.40

- Total DFT energy (no corrections): -7.124 eV per atom
- DOS at the Fermi energy: 5.458 states/eV/cell

## PSe3Br (GGA-PBE)

Data for PSe3Br after structural relaxation.

Cell: 7.1299 7.2490 7.9681 Å, 89.43 89.22 61.08°
With the nearest neighbours (Å) after each atom.
Space group P1 (No. 1)
One atom of each set of equivalent atoms:
P 0.0000 0.0000 0.0000 [1 per cell]  3 Se 2.09-2.34, 1 Br 2.27
P 0.4974 0.5006 0.3784 [1 per cell]  3 Se 2.09-2.34, 1 Br 2.27
Se 0.0288 0.7118 0.9252 [1 per cell]  1 P 2.09
Se 0.1354 0.0332 0.2571 [1 per cell]  1 Se 2.33, 1 P 2.34
Se 0.1420 0.7475 0.3985 [1 per cell]  1 P 2.29, 1 Se 2.33
Se 0.5236 0.2132 0.4573 [1 per cell]  1 P 2.09
Se 0.6342 0.5322 0.1177 [1 per cell]  1 Se 2.33, 1 P 2.34
Se 0.6439 0.2442 0.9829 [1 per cell]  1 P 2.29, 1 Se 2.33
Br 0.1682 0.1358 0.8382 [1 per cell]  1 P 2.27
Br 0.6669 0.6339 0.5348 [1 per cell]  1 P 2.27

- E above lowest polymorph: 0.0000 eV per atom
- Total DFT energy (no corrections): -3.596 eV per atom
- DOS at the Fermi energy: 0.000 states/eV/cell

## P2SeBr (GGA-PBE)

Data for P2SeBr after structural relaxation.

Cell: 3.4996 3.5156 7.9870 Å, 90.00 90.00 90.00°
With the nearest neighbours (Å) after each atom.
Space group Pmm2 (No. 25)
One atom of each set of equivalent atoms:
P 0.0000 0.0000 0.0000 [1 per cell]  1 Se 2.18
P 0.5000 0.5000 0.0432 [1 per cell]  1 Br 2.24, 4 P 2.50
Se 0.0000 0.0000 0.7270 [1 per cell]  1 P 2.18
Br 0.5000 0.5000 0.3238 [1 per cell]  1 P 2.24

- E above lowest polymorph: 0.0073 eV per atom
- Total DFT energy (no corrections): -3.941 eV per atom
- DOS at the Fermi energy: 1.557 states/eV/cell

## P2SeBr (GGA-PBE)

Data for P2SeBr after structural relaxation.

Cell: 6.5068 7.2818 4.9202 Å, 90.00 130.92 90.00°
With the nearest neighbours (Å) after each atom.
Space group C2/m (No. 12)
One atom of each set of equivalent atoms:
P 0.2500 0.2500 0.0000 [4 per cell]  2 Se 2.60, 2 Br 2.60
Se 0.0000 0.0000 0.5000 [2 per cell]  4 P 2.60
Br 0.0000 0.5000 0.5000 [2 per cell]  4 P 2.60

- E above lowest polymorph: 0.5607 eV per atom
- Total DFT energy (no corrections): -3.387 eV per atom
- DOS at the Fermi energy: 5.590 states/eV/cell

## PSeBr3 (GGA-PBE)

Data for PSeBr3 after structural relaxation.

Cell: 5.1696 5.1696 5.1696 Å, 90.00 90.00 90.00°
With the nearest neighbours (Å) after each atom.
Space group Pm-3m (No. 221)
One atom of each set of equivalent atoms:
P 0.0000 0.0000 0.0000 [1 per cell]  6 Br 2.58
Se 0.5000 0.5000 0.5000 [1 per cell]  12 Br 3.66
Br 0.0000 0.0000 0.5000 [3 per cell]  2 P 2.58

- E above lowest polymorph: 0.6327 eV per atom
- Total DFT energy (no corrections): -2.395 eV per atom
- DOS at the Fermi energy: 2.488 states/eV/cell

## PSeBr (GGA-PBE)

Data for PSeBr after structural relaxation.

Cell: 3.6776 3.6776 6.8648 Å, 90.00 90.00 120.00°
With the nearest neighbours (Å) after each atom.
Space group P3m1 (No. 156)
One atom of each set of equivalent atoms:
P 0.0000 0.0000 0.0000 [1 per cell]  3 Se 2.53, 3 Br 2.75
Se 0.3333 0.6667 0.1994 [1 per cell]  3 P 2.53
Br 0.6667 0.3333 0.7459 [1 per cell]  3 P 2.75

- Total DFT energy (no corrections): -3.590 eV per atom

## P2SeBr (GGA-PBE)

Data for P2SeBr after structural relaxation.

Cell: 3.5111 7.3444 7.5894 Å, 90.00 90.00 90.00°
With the nearest neighbours (Å) after each atom.
Space group Cmmm (No. 65)
One atom of each set of equivalent atoms:
P 0.0000 0.0000 0.2271 [4 per cell]  2 Se 2.46, 2 Br 2.71
Se 0.0000 0.5000 0.0000 [2 per cell]  4 P 2.46
Br 0.0000 0.5000 0.5000 [2 per cell]  4 P 2.71

- E above lowest polymorph: 0.6044 eV per atom
- Total DFT energy (no corrections): -3.344 eV per atom
- DOS at the Fermi energy: 6.919 states/eV/cell